Entry from Alexandria via LeMat-Bulk: a relaxed CoHgPO4 crystal (PBE+U).

Summary:
Space-group type: P2_1/m (11)
Energy, eV/atom: -5.748

Geometry as POSCAR:
```
CoHgPO4
1.0
5.337 0.000 -0.359
0.000 5.579 0.000
-2.584 0.000 7.093
Co Hg P O
2 2 2 8
Direct
0.787 0.750 0.488
0.213 0.250 0.512
0.436 0.750 0.909
0.564 0.250 0.091
0.231 0.750 0.368
0.769 0.250 0.632
0.962 0.471 0.670
0.038 0.971 0.330
0.038 0.529 0.330
0.962 0.029 0.670
0.416 0.750 0.253
0.584 0.250 0.747
0.447 0.750 0.583
0.553 0.250 0.417
```